(1)
Here is ZnCd3Te4 after structural relaxation from Alexandria. Energies are from PBE. Values from VASP.

Geometry as Quantum ESPRESSO input:
```
&SYSTEM
  ibrav = 0, nat = 8, ntyp = 3
/
ATOMIC_SPECIES
Zn 65.41 Zn.upf
Cd 112.41 Cd.upf
Te 127.60 Te.upf
ATOMIC_POSITIONS crystal
Zn 0.000 0.000 0.000
Cd 0.250 0.750 0.500
Cd 0.500 0.500 0.000
Cd 0.750 0.250 0.500
Te 0.118 0.118 0.476
Te 0.358 0.882 0.000
Te 0.642 0.642 0.524
Te 0.882 0.358 0.000
CELL_PARAMETERS angstrom
-3.254 3.254 6.487
3.254 -3.254 6.487
3.254 3.254 -6.487
```

* V: 34.36 Å³/atom
* formation energy without anion corrections: -459 meV per atom
* excess energy over the best structure of this formula in the dataset: 0.0 meV/atom

(2)
Here is ZnCdTe2 after structural relaxation from Alexandria. Energies are from PBE. Values from VASP.

Geometry as Quantum ESPRESSO input:
```
&SYSTEM
  ibrav = 0, nat = 8, ntyp = 3
/
ATOMIC_SPECIES
Zn 65.41 Zn.upf
Cd 112.41 Cd.upf
Te 127.60 Te.upf
ATOMIC_POSITIONS crystal
Zn 0.000 0.000 0.000
Zn 0.743 0.743 0.072
Cd 0.250 0.250 0.579
Cd 0.492 0.492 0.488
Te 0.183 0.183 0.170
Te 0.442 0.442 0.788
Te 0.684 0.684 0.692
Te 0.925 0.925 0.241
CELL_PARAMETERS angstrom
8.367 -2.251 0.000
8.367 2.251 0.000
-3.626 0.000 6.955
```

* V: 32.74 Å³/atom
* formation energy without anion corrections: -446 meV per atom
* Fermi-level density of states: 0.000 states/eV per atom

(3)
Here is ZnCdTe2 after structural relaxation from Alexandria. Energies are from PBE. Values from VASP.

Geometry as Quantum ESPRESSO input:
```
&SYSTEM
  ibrav = 0, nat = 4, ntyp = 3
/
ATOMIC_SPECIES
Zn 65.41 Zn.upf
Cd 112.41 Cd.upf
Te 127.60 Te.upf
ATOMIC_POSITIONS crystal
Zn 0.000 0.000 0.000
Cd 0.500 0.500 0.500
Te 0.257 0.257 0.768
Te 0.743 0.743 0.232
CELL_PARAMETERS angstrom
3.619 -2.087 0.000
3.619 2.087 0.000
-2.385 0.000 6.956
```

* V: 26.27 Å³/atom
* formation energy without anion corrections: -219 meV per atom
* Fermi-level density of states: 0.455 states/eV per atom

(4)
Here is ZnCdTe2 after structural relaxation from Alexandria. Energies are from PBE. Values from VASP.

Geometry as Quantum ESPRESSO input:
```
&SYSTEM
  ibrav = 0, nat = 4, ntyp = 3
/
ATOMIC_SPECIES
Zn 65.41 Zn.upf
Cd 112.41 Cd.upf
Te 127.60 Te.upf
ATOMIC_POSITIONS crystal
Zn 0.000 0.000 0.000
Cd 0.332 0.332 0.493
Te 0.333 0.333 0.111
Te 0.999 0.999 0.640
CELL_PARAMETERS angstrom
3.902 -2.253 0.000
3.902 2.253 0.000
-0.003 0.000 7.457
```

* V: 32.77 Å³/atom
* formation energy without anion corrections: -440 meV per atom
* Fermi-level density of states: 0.000 states/eV per atom

(5)
Here is ZnCdTe2 after structural relaxation from Alexandria. Energies are from PBE. Values from VASP.

Geometry as Quantum ESPRESSO input:
```
&SYSTEM
  ibrav = 0, nat = 8, ntyp = 3
/
ATOMIC_SPECIES
Zn 65.41 Zn.upf
Cd 112.41 Cd.upf
Te 127.60 Te.upf
ATOMIC_POSITIONS crystal
Zn 0.375 0.625 0.750
Zn 0.625 0.375 0.250
Cd 0.125 0.875 0.250
Cd 0.875 0.125 0.750
Te 0.138 0.388 0.750
Te 0.388 0.138 0.250
Te 0.612 0.862 0.750
Te 0.862 0.612 0.250
CELL_PARAMETERS angstrom
-2.993 2.993 5.910
2.993 -2.993 5.910
2.993 2.993 -5.910
```

* V: 26.47 Å³/atom
* formation energy without anion corrections: -211 meV per atom
* Fermi-level density of states: 0.702 states/eV per atom

(6)
Here is ZnCdTe2 after structural relaxation from Alexandria. Energies are from PBE. Values from VASP.

Geometry as Quantum ESPRESSO input:
```
&SYSTEM
  ibrav = 0, nat = 4, ntyp = 3
/
ATOMIC_SPECIES
Zn 65.41 Zn.upf
Cd 112.41 Cd.upf
Te 127.60 Te.upf
ATOMIC_POSITIONS crystal
Zn 0.000 0.000 0.000
Cd 0.500 0.500 0.500
Te 0.390 0.390 0.390
Te 0.610 0.610 0.610
CELL_PARAMETERS angstrom
2.197 1.268 8.174
-2.197 1.268 8.174
0.000 -2.537 8.174
```

* V: 34.17 Å³/atom
* formation energy without anion corrections: -80 meV per atom
* Fermi-level density of states: 0.102 states/eV per atom

(7)
Here is ZnCdTe2 after structural relaxation from Alexandria. Energies are from PBE. Values from VASP.

Geometry as Quantum ESPRESSO input:
```
&SYSTEM
  ibrav = 0, nat = 16, ntyp = 3
/
ATOMIC_SPECIES
Zn 65.41 Zn.upf
Cd 112.41 Cd.upf
Te 127.60 Te.upf
ATOMIC_POSITIONS crystal
Zn 0.037 0.229 0.439
Zn 0.037 0.271 0.939
Zn 0.963 0.729 0.061
Zn 0.963 0.771 0.561
Cd 0.144 0.536 0.320
Cd 0.144 0.964 0.820
Cd 0.856 0.036 0.180
Cd 0.856 0.464 0.680
Te 0.228 0.730 0.574
Te 0.228 0.770 0.074
Te 0.379 0.011 0.372
Te 0.379 0.489 0.872
Te 0.621 0.511 0.128
Te 0.621 0.989 0.628
Te 0.772 0.230 0.926
Te 0.772 0.270 0.426
CELL_PARAMETERS angstrom
10.692 0.000 0.000
0.000 4.224 0.000
-9.000 0.000 10.755
```

* V: 30.35 Å³/atom
* formation energy without anion corrections: -108 meV per atom
* Fermi-level density of states: 0.440 states/eV per atom

(8)
Here is ZnCdTe2 after structural relaxation from Alexandria. Energies are from PBE. Values from VASP.

Geometry as Quantum ESPRESSO input:
```
&SYSTEM
  ibrav = 0, nat = 4, ntyp = 3
/
ATOMIC_SPECIES
Zn 65.41 Zn.upf
Cd 112.41 Cd.upf
Te 127.60 Te.upf
ATOMIC_POSITIONS crystal
Zn 0.000 0.000 0.000
Cd 0.667 0.333 0.531
Te 0.000 0.000 0.372
Te 0.333 0.667 0.867
CELL_PARAMETERS angstrom
4.444 0.000 0.000
-2.222 3.849 0.000
0.000 0.000 7.198
```

* V: 30.78 Å³/atom
* formation energy without anion corrections: -323 meV per atom
* Fermi-level density of states: 0.000 states/eV per atom

(9)
Here is ZnCdTe2 after structural relaxation from Alexandria. Energies are from PBE. Values from VASP.

Geometry as Quantum ESPRESSO input:
```
&SYSTEM
  ibrav = 0, nat = 8, ntyp = 3
/
ATOMIC_SPECIES
Zn 65.41 Zn.upf
Cd 112.41 Cd.upf
Te 127.60 Te.upf
ATOMIC_POSITIONS crystal
Zn 0.000 0.000 0.000
Zn 0.745 0.745 0.240
Cd 0.251 0.251 0.752
Cd 0.496 0.496 0.490
Te 0.182 0.182 0.070
Te 0.444 0.444 0.824
Te 0.689 0.689 0.545
Te 0.927 0.927 0.289
CELL_PARAMETERS angstrom
7.485 -2.253 0.000
7.485 2.253 0.000
-1.332 0.000 7.745
```

* V: 32.65 Å³/atom
* formation energy without anion corrections: -456 meV per atom

(10)
Here is ZnCd3Te4 after structural relaxation from Alexandria. Energies are from PBE. Values from VASP.

Geometry as Quantum ESPRESSO input:
```
&SYSTEM
  ibrav = 0, nat = 8, ntyp = 3
/
ATOMIC_SPECIES
Zn 65.41 Zn.upf
Cd 112.41 Cd.upf
Te 127.60 Te.upf
ATOMIC_POSITIONS crystal
Zn 0.000 0.000 0.000
Cd 0.000 0.500 0.500
Cd 0.500 0.000 0.500
Cd 0.500 0.500 0.000
Te 0.240 0.240 0.240
Te 0.240 0.760 0.760
Te 0.760 0.240 0.760
Te 0.760 0.760 0.240
CELL_PARAMETERS angstrom
6.503 0.000 0.000
0.000 6.503 0.000
0.000 0.000 6.503
```

* V: 34.37 Å³/atom
* formation energy without anion corrections: -456 meV per atom
* excess energy over the best structure of this formula in the dataset: 3.0 meV/atom

(11)
Here is ZnCdTe2 after structural relaxation from Alexandria. Energies are from PBE. Values from VASP.

Geometry as Quantum ESPRESSO input:
```
&SYSTEM
  ibrav = 0, nat = 4, ntyp = 3
/
ATOMIC_SPECIES
Zn 65.41 Zn.upf
Cd 112.41 Cd.upf
Te 127.60 Te.upf
ATOMIC_POSITIONS crystal
Zn 0.000 0.000 0.000
Cd 0.731 0.731 0.731
Te 0.271 0.271 0.271
Te 0.474 0.474 0.474
CELL_PARAMETERS angstrom
1.758 1.015 10.351
-1.758 1.015 10.351
0.000 -2.030 10.351
```

* V: 27.70 Å³/atom
* formation energy without anion corrections: 70 meV per atom
* Fermi-level density of states: 0.802 states/eV per atom

(12)
Here is ZnCdTe2 after structural relaxation from Alexandria. Energies are from PBE. Values from VASP.

Geometry as Quantum ESPRESSO input:
```
&SYSTEM
  ibrav = 0, nat = 4, ntyp = 3
/
ATOMIC_SPECIES
Zn 65.41 Zn.upf
Cd 112.41 Cd.upf
Te 127.60 Te.upf
ATOMIC_POSITIONS crystal
Zn 0.000 0.000 0.000
Cd 0.500 0.500 0.500
Te 0.000 0.000 0.500
Te 0.500 0.500 0.000
CELL_PARAMETERS angstrom
4.212 0.000 0.000
0.000 4.212 0.000
0.000 0.000 5.979
```

* V: 26.52 Å³/atom
* formation energy without anion corrections: -199 meV per atom
* Fermi-level density of states: 0.578 states/eV per atom

M_tot per entry: 0.0, 0.0, 0.0, 0.0, 0.0, 0.0, 0.0, 0.0, 0.0, 0.0, 0.0, 0.0 μB per cell
Total DFT energy (no corrections) per entry: -20.3, -20.5, -9.4, -10.2, -18.6, -8.8, -35.6, -9.8, -20.6, -20.2, -8.2, -9.3 eV per cell